[1]
Here is crystalline Pm2TmPt at its relaxed geometry from Alexandria. Energies are from PBE-GGA.

Values from the calculation:
The space group is P4/mmm, No. 123. For the formation energy, the calculation gives -0.49 eV per atom.

```
data_Pm2TmPt
_space_group_name_H-M_alt 'P 1'
_space_group_IT_number 1
_space_group_name_Hall 'P 1'
_cell_length_a 3.6655
_cell_length_b 3.6655
_cell_length_c 8.3634
_cell_angle_alpha 90.00
_cell_angle_beta 90.00
_cell_angle_gamma 90.00
loop_
_atom_site_label
_atom_site_type_symbol
_atom_site_fract_x
_atom_site_fract_y
_atom_site_fract_z
Tm1 Tm 0.5000 0.5000 0.5000
Pt1 Pt 0.5000 0.5000 0.0000
Pm1 Pm 0.0000 0.0000 0.7985
Pm2 Pm 0.0000 0.0000 0.2015
```



[2]
Here is crystalline V2As2Se at its relaxed geometry from Alexandria. Energies are from PBE-GGA.

Values from the calculation:
As for the raw formation energy: -1.3 eV/f.u. The space group is P4/mbm, No. 127.

```
data_V2As2Se
_space_group_name_H-M_alt 'P 1'
_space_group_IT_number 1
_space_group_name_Hall 'P 1'
_cell_length_a 6.9998
_cell_length_b 6.9998
_cell_length_c 3.2533
_cell_angle_alpha 90.00
_cell_angle_beta 90.00
_cell_angle_gamma 90.00
loop_
_atom_site_label
_atom_site_type_symbol
_atom_site_fract_x
_atom_site_fract_y
_atom_site_fract_z
As1 As 0.1386 0.6386 0.5000
As2 As 0.6386 0.8614 0.5000
As3 As 0.8614 0.3614 0.5000
As4 As 0.3614 0.1386 0.5000
Se1 Se 0.0000 0.0000 0.0000
Se2 Se 0.5000 0.5000 0.0000
V1 V 0.3505 0.8505 0.0000
V2 V 0.8505 0.6495 0.0000
V3 V 0.6495 0.1495 0.0000
V4 V 0.1495 0.3505 0.0000
```



[3]
Here is crystalline La2TbIn3 at its relaxed geometry from Alexandria. Energies are from PBE-GGA.

Values from the calculation:
The space group is Cmcm, No. 63. For the formation energy, the calculation gives -0.31 eV per atom.

```
data_La2TbIn3
_space_group_name_H-M_alt 'P 1'
_space_group_IT_number 1
_space_group_name_Hall 'P 1'
_cell_length_a 3.8295
_cell_length_b 6.6054
_cell_length_c 15.0659
_cell_angle_alpha 90.00
_cell_angle_beta 97.30
_cell_angle_gamma 90.00
loop_
_atom_site_label
_atom_site_type_symbol
_atom_site_fract_x
_atom_site_fract_y
_atom_site_fract_z
La1 La 0.1561 0.7500 0.3122
La2 La 0.8439 0.2500 0.6878
La3 La 0.9941 0.7500 0.9882
La4 La 0.0059 0.2500 0.0118
Tb1 Tb 0.3317 0.7500 0.6633
Tb2 Tb 0.6683 0.2500 0.3367
In1 In 0.4215 0.4880 0.8431
In2 In 0.5785 0.5120 0.1569
In3 In 0.4215 0.0120 0.8431
In4 In 0.5785 0.9880 0.1569
In5 In 0.7478 0.7500 0.4956
In6 In 0.2522 0.2500 0.5044
```



[4]
Here is crystalline Lu2IrPd at its relaxed geometry from Alexandria. Energies are from PBE-GGA.

Values from the calculation:
The space group is P4/mmm, No. 123. For the formation energy, the calculation gives -0.99 eV per atom.

```
data_Lu2IrPd
_space_group_name_H-M_alt 'P 1'
_space_group_IT_number 1
_space_group_name_Hall 'P 1'
_cell_length_a 3.3268
_cell_length_b 4.8389
_cell_length_c 4.8389
_cell_angle_alpha 90.00
_cell_angle_beta 90.00
_cell_angle_gamma 90.00
loop_
_atom_site_label
_atom_site_type_symbol
_atom_site_fract_x
_atom_site_fract_y
_atom_site_fract_z
Ir1 Ir 0.5000 0.0000 0.0000
Lu1 Lu 0.0000 0.0000 0.5000
Lu2 Lu 0.0000 0.5000 0.0000
Pd1 Pd 0.5000 0.5000 0.5000
```



[5]
Here is crystalline BeSbRu3 at its relaxed geometry from Alexandria. Energies are from PBE-GGA.

Values from the calculation:
As for the raw formation energy: 9.3 eV/f.u. The space group is Pm-3m, No. 221.

```
data_BeSbRu3
_space_group_name_H-M_alt 'P 1'
_space_group_IT_number 1
_space_group_name_Hall 'P 1'
_cell_length_a 4.7924
_cell_length_b 4.7924
_cell_length_c 4.7924
_cell_angle_alpha 90.00
_cell_angle_beta 90.00
_cell_angle_gamma 90.00
loop_
_atom_site_label
_atom_site_type_symbol
_atom_site_fract_x
_atom_site_fract_y
_atom_site_fract_z
Sb1 Sb 0.0000 0.0000 0.0000
Be1 Be 0.5000 0.5000 0.5000
Ru1 Ru 0.0000 0.5000 0.0000
Ru2 Ru 0.0000 0.0000 0.5000
Ru3 Ru 0.5000 0.0000 0.0000
```



[6]
Here is crystalline CaMnBe at its relaxed geometry from Alexandria. Energies are from PBE-GGA.

Values from the calculation:
The space group is F-43m, No. 216. For the formation energy, the calculation gives 1.29 eV per atom.

```
data_CaMnBe
_space_group_name_H-M_alt 'P 1'
_space_group_IT_number 1
_space_group_name_Hall 'P 1'
_cell_length_a 4.6657
_cell_length_b 4.6657
_cell_length_c 4.6657
_cell_angle_alpha 60.00
_cell_angle_beta 60.00
_cell_angle_gamma 60.00
loop_
_atom_site_label
_atom_site_type_symbol
_atom_site_fract_x
_atom_site_fract_y
_atom_site_fract_z
Be1 Be 0.5000 0.5000 0.5000
Ca1 Ca 0.7500 0.7500 0.7500
Mn1 Mn 0.0000 0.0000 0.0000
```



[7]
Here is crystalline Hf2Cu2Ni3 at its relaxed geometry from Alexandria. Energies are from PBE-GGA.

Values from the calculation:
The space group is C2/m, No. 12. For the formation energy, the calculation gives -0.33 eV per atom.

```
data_Hf2Cu2Ni3
_space_group_name_H-M_alt 'P 1'
_space_group_IT_number 1
_space_group_name_Hall 'P 1'
_cell_length_a 3.9521
_cell_length_b 6.3005
_cell_length_c 4.7322
_cell_angle_alpha 110.12
_cell_angle_beta 114.68
_cell_angle_gamma 90.00
loop_
_atom_site_label
_atom_site_type_symbol
_atom_site_fract_x
_atom_site_fract_y
_atom_site_fract_z
Hf1 Hf 0.3586 0.2283 0.7171
Hf2 Hf 0.6414 0.7717 0.2829
Cu1 Cu 0.1224 0.4326 0.2447
Cu2 Cu 0.8776 0.5674 0.7553
Ni1 Ni 0.0000 0.0000 0.0000
Ni2 Ni 0.3540 0.8084 0.7081
Ni3 Ni 0.6460 0.1916 0.2919
```



[8]
Here is crystalline LiDy2F6 at its relaxed geometry from Alexandria. Energies are from PBE-GGA.

Values from the calculation:
As for the raw formation energy: -32.3 eV/f.u. The space group is P2_1/c, No. 14.

```
data_LiDy2F6
_space_group_name_H-M_alt 'P 1'
_space_group_IT_number 1
_space_group_name_Hall 'P 1'
_cell_length_a 5.5299
_cell_length_b 6.2938
_cell_length_c 7.9307
_cell_angle_alpha 90.00
_cell_angle_beta 90.24
_cell_angle_gamma 90.00
loop_
_atom_site_label
_atom_site_type_symbol
_atom_site_fract_x
_atom_site_fract_y
_atom_site_fract_z
Li1 Li 0.5000 0.5000 0.0000
Li2 Li 0.0000 0.0000 0.5000
Dy1 Dy 0.9995 0.4988 0.7633
Dy2 Dy 0.5005 0.9988 0.7367
Dy3 Dy 0.4995 0.0012 0.2633
Dy4 Dy 0.0005 0.5012 0.2367
F1 F 0.8371 0.8151 0.3101
F2 F 0.8370 0.8128 0.6888
F3 F 0.8225 0.6370 0.9995
F4 F 0.6775 0.1370 0.5005
F5 F 0.6630 0.3128 0.8112
F6 F 0.6629 0.3151 0.1899
F7 F 0.1629 0.1849 0.6899
F8 F 0.1630 0.1872 0.3112
F9 F 0.1775 0.3630 0.0005
F10 F 0.3225 0.8630 0.4995
F11 F 0.3370 0.6872 0.1888
F12 F 0.3371 0.6849 0.8101
```



[9]
Here is crystalline MgCr2Br at its relaxed geometry from Alexandria. Energies are from PBE-GGA.

Values from the calculation:
As for the raw formation energy: 2.8 eV/f.u. The space group is P4/mmm, No. 123.

```
data_MgCr2Br
_space_group_name_H-M_alt 'P 1'
_space_group_IT_number 1
_space_group_name_Hall 'P 1'
_cell_length_a 3.8620
_cell_length_b 4.6880
_cell_length_c 4.6880
_cell_angle_alpha 90.00
_cell_angle_beta 90.00
_cell_angle_gamma 90.00
loop_
_atom_site_label
_atom_site_type_symbol
_atom_site_fract_x
_atom_site_fract_y
_atom_site_fract_z
Br1 Br 0.5000 0.0000 0.5000
Cr1 Cr 0.0000 0.0000 0.0000
Cr2 Cr 0.0000 0.5000 0.5000
Mg1 Mg 0.5000 0.5000 0.0000
```



[10]
Here is crystalline Pr4TeAsSe2 at its relaxed geometry from Alexandria. Energies are from PBE-GGA.

Values from the calculation:
As for the raw formation energy: -13.5 eV/f.u. The space group is P2/m, No. 10.

```
data_Pr4TeAsSe2
_space_group_name_H-M_alt 'P 1'
_space_group_IT_number 1
_space_group_name_Hall 'P 1'
_cell_length_a 4.3220
_cell_length_b 7.4692
_cell_length_c 7.6342
_cell_angle_alpha 70.89
_cell_angle_beta 90.00
_cell_angle_gamma 90.00
loop_
_atom_site_label
_atom_site_type_symbol
_atom_site_fract_x
_atom_site_fract_y
_atom_site_fract_z
Pr1 Pr 0.0000 0.7622 0.7258
Pr2 Pr 0.0000 0.2378 0.2742
Pr3 Pr 0.5000 0.7480 0.2680
Pr4 Pr 0.5000 0.2520 0.7320
Te1 Te 0.5000 0.5000 0.0000
As1 As 0.0000 0.5000 0.5000
Se1 Se 0.0000 0.0000 0.0000
Se2 Se 0.5000 0.0000 0.5000
```